Record 1
CsKUF6: optimized geometry, GGA-PBE.

Values from the calculation:
- E (eV per atom) = -6.0365
- total magnetic moment (μB/f.u.) = 2.00
- crystal system = monoclinic
- SG = C2

Cell: 6.7762 6.7760 5.6517 Å, 89.99 90.00 59.77°
Closest atoms and distances in Å follow each position.
Positions (direct):
F  0.3465  0.0534  0.7086  1 U 2.20
F  0.5990  0.0548  0.2920  1 U 2.18
F  0.0534  0.3464  0.2914  1 U 2.20
F  0.6000  0.3465  0.7083  1 U 2.20
F  0.3463  0.6000  0.2918  1 U 2.20
F  0.0547  0.5989  0.7080  1 U 2.18
U  0.3332  0.3332  0.5000  6 F 2.18-2.20
Cs  0.0008  0.0008  0.9999  6 F 3.03-3.04
K  0.6659  0.6659  0.4999  6 F 2.69-2.71


Record 2
TaCuC3: optimized geometry, GGA-PBE.

Values from the calculation:
- E (eV per atom) = -6.6650
- total magnetic moment (μB/f.u.) = 0.00
- crystal system = cubic
- SG = Pm-3m

Cell: 4.1694 4.1694 4.1694 Å, 90.00 90.00 90.00°
Closest atoms and distances in Å follow each position.
Positions (direct):
C  0.5000  0.0000  0.0000  2 Ta 2.08
C  0.0000  0.5000  0.0000  2 Ta 2.08
C  0.0000  0.0000  0.5000  2 Ta 2.08
Ta  0.0000  0.0000  0.0000  6 C 2.08
Cu  0.5000  0.5000  0.5000  12 C 2.95